# 1
PBE CuIrPt2, optimized geometry; energy of formation from the pure elements = -0.001 eV per atom; offset from the most stable computed form = 0.0515 eV/atom; space group = Pmm2 (25); ρ = 18.296 g/cm³
1.0
2.7373 0.0000 0.0000
0.0000 4.5141 0.0000
0.0000 0.0000 4.7444
Cu Ir Pt
1 1 2
Direct
0.0000 0.0000 0.0000 Cu
0.0000 0.5000 0.6486 Ir
0.5000 0.0000 0.5073 Pt
0.5000 0.5000 0.1452 Pt

# 2
PBE Pb2SeCl, optimized geometry; uncorrected formation energy = -493 meV/atom; offset from the most stable computed form = 0.0887 eV/atom; space group = Fm-3m (225); ρ = 8.321 g/cm³
1.0
0.0000 3.7507 3.7507
3.7507 0.0000 3.7507
3.7507 3.7507 0.0000
Pb Se Cl
2 1 1
Direct
0.2500 0.2500 0.2500 Pb
0.7500 0.7500 0.7500 Pb
0.0000 0.0000 0.0000 Se
0.5000 0.5000 0.5000 Cl

- Which formula does entry 2 have?
  Pb2SeCl

- What is the ρ in the second record?
  8.321 g/cm³

- Look up the offset from the most stable computed form of the second one.
  0.0887 eV/atom